Computed, not measured: crystalline BeTl2WI at its relaxed geometry at the GGA-PBEsol level of DFT.

Values from the calculation:
Its density of states at the Fermi level is 3.85 states/eV per cell. As for the formation energy without anion corrections: 1.090 eV per atom. As for the symmetry: P4/mmm, No. 123.

a = 4.6172 Å, b = 4.9367 Å, c = 4.9367 Å
α = 90.00°, β = 90.00°, γ = 90.00°
Fractional coordinates of all 5 atoms:
Tl 0.0000 0.0000 0.5000
Tl 0.0000 0.5000 0.0000
W 0.5000 0.0000 0.0000
Be 0.0000 0.0000 0.0000
I 0.5000 0.5000 0.5000